No. 1
Here is crystalline CdAu2 at its relaxed geometry from Alexandria. Energies are from PBE-GGA.

Cell: 6.6047 6.6047 6.6047 Å, 90.00 90.00 90.00°
Positions (direct):
Cd: 0.0000 0.0000 0.0000
Cd: 0.0000 0.5000 0.5000
Cd: 0.5000 0.0000 0.5000
Cd: 0.5000 0.5000 0.0000
Au: 0.1189 0.6189 0.8811
Au: 0.1189 0.8811 0.3811
Au: 0.3811 0.1189 0.8811
Au: 0.3811 0.3811 0.3811
Au: 0.6189 0.6189 0.6189
Au: 0.6189 0.8811 0.1189
Au: 0.8811 0.1189 0.6189
Au: 0.8811 0.3811 0.1189

Properties
Density of states at the Fermi level = 0.351 states/eV/atom
SG = Pa-3, No. 205
Uncorrected energy = -2.24 eV per atom
Formation energy = 0.251 eV/atom


No. 2
Here is crystalline CdAu2 at its relaxed geometry from Alexandria. Energies are from PBE-GGA.

Cell: 7.8464 7.8464 4.8823 Å, 90.00 90.00 157.77°
Positions (direct):
Cd: 0.2169 0.7831 0.7500
Cd: 0.7831 0.2169 0.2500
Au: 0.1139 0.8861 0.2500
Au: 0.4475 0.5525 0.2500
Au: 0.5525 0.4475 0.7500
Au: 0.8861 0.1139 0.7500

Properties
Density of states at the Fermi level = 0.229 states/eV/atom
SG = Cmcm, No. 63
Uncorrected energy = -2.56 eV per atom
Formation energy = -0.069 eV/atom


No. 3
Here is crystalline CdAu2 at its relaxed geometry from Alexandria. Energies are from PBE-GGA.

Cell: 5.1086 5.1086 5.8913 Å, 104.43 104.43 50.14°
Positions (direct):
Cd: 0.1600 0.1600 0.3192
Cd: 0.8400 0.8400 0.6808
Au: 0.1699 0.1699 0.8241
Au: 0.5000 0.5000 0.0000
Au: 0.5000 0.5000 0.5000
Au: 0.8301 0.8301 0.1759

Properties
Density of states at the Fermi level = 0.429 states/eV/atom
SG = C2/m, No. 12
Uncorrected energy = -2.62 eV per atom
Formation energy = -0.131 eV/atom


No. 4
Here is crystalline CdAu2 at its relaxed geometry from Alexandria. Energies are from PBE-GGA.

Cell: 5.7851 5.7851 5.7851 Å, 123.40 123.40 84.20°
Positions (direct):
Cd: 0.2500 0.2500 0.0000
Cd: 0.7500 0.7500 0.0000
Au: 0.1835 0.6835 0.8669
Au: 0.3165 0.1835 0.5000
Au: 0.6835 0.8165 0.5000
Au: 0.8165 0.3165 0.1331

Properties
Density of states at the Fermi level = 0.402 states/eV/atom
SG = I4/mcm, No. 140
Uncorrected energy = -2.58 eV per atom
Formation energy = -0.088 eV/atom


No. 5
Here is crystalline Cd5Au2 at its relaxed geometry from Alexandria. Energies are from PBE-GGA.

Cell: 8.2236 8.2236 8.2236 Å, 128.89 70.08 135.47°
Positions (direct):
Cd: 0.0135 0.2500 0.7635
Cd: 0.0863 0.6624 0.7487
Cd: 0.2500 0.2500 0.0000
Cd: 0.4137 0.1624 0.5761
Cd: 0.4865 0.2500 0.2365
Cd: 0.5135 0.7500 0.7635
Cd: 0.5863 0.8376 0.4239
Cd: 0.7500 0.7500 0.0000
Cd: 0.9137 0.3376 0.2513
Cd: 0.9865 0.7500 0.2365
Au: 0.1237 0.2660 0.3897
Au: 0.3763 0.7660 0.1423
Au: 0.6237 0.2340 0.8577
Au: 0.8763 0.7340 0.6103

Properties
Density of states at the Fermi level = 0.347 states/eV/atom
SG = Ibam, No. 72
Uncorrected energy = -1.73 eV per atom
Formation energy = -0.140 eV/atom


No. 6
Here is crystalline Cd3Au5 at its relaxed geometry from Alexandria. Energies are from PBE-GGA.

Cell: 8.2724 8.2724 5.3951 Å, 90.00 90.00 120.00°
Positions (direct):
Cd: 0.0000 0.3963 0.2500
Cd: 0.0000 0.6037 0.7500
Cd: 0.3963 0.0000 0.2500
Cd: 0.3963 0.3963 0.7500
Cd: 0.6037 0.0000 0.7500
Cd: 0.6037 0.6037 0.2500
Au: 0.0000 0.2063 0.7500
Au: 0.0000 0.7937 0.2500
Au: 0.2063 0.0000 0.7500
Au: 0.2063 0.2063 0.2500
Au: 0.3333 0.6667 0.0000
Au: 0.3333 0.6667 0.5000
Au: 0.6667 0.3333 0.0000
Au: 0.6667 0.3333 0.5000
Au: 0.7937 0.0000 0.2500
Au: 0.7937 0.7937 0.7500

Properties
Density of states at the Fermi level = 0.466 states/eV/atom
SG = P6_3/mcm, No. 193
Uncorrected energy = -2.45 eV per atom
Formation energy = -0.056 eV/atom